VASP calculation (PBE) on a geometry-optimized TlTc2IrO structure.

The value obtained for the uncorrected formation energy is 2.86 eV per atom. The calculated volume comes out at 27.47 Å³ per atom. The energy comes out at -4.53 eV/atom.

It has space group P4/mmm (No. 123), with a = 5.244 Å, b = 5.244 Å, c = 4.994 Å, α = 90.00°, β = 90.00° and γ = 90.00°. The asymmetric unit holds Tl at (0.000, 0.000, 0.000), Tc at (0.000, 0.500, 0.000), Ir at (0.000, 0.000, 0.500) and O at (0.500, 0.500, 0.500).